# Dy4HgOs PBE relaxed
# Electronic total energy   -5.33 eV/atom
# D(E_F)   5.91 states/eV/f.u.
# E_form   -0.343 eV per atom
data_Dy4HgOs
_space_group_name_H-M_alt 'C 1 2/c 1'
_space_group_IT_number 15
_cell_length_a 8.562
_cell_length_b 12.769
_cell_length_c 6.214
_cell_angle_alpha 90.00
_cell_angle_beta 105.48
_cell_angle_gamma 90.00
loop_
_space_group_symop_operation_xyz
'x,y,z'
'-x,-y,-z'
'-x,y,-z+1/2'
'x,-y,z+1/2'
'x+1/2,y+1/2,z'
'-x+1/2,-y+1/2,-z'
'-x+1/2,y+1/2,-z+1/2'
'x+1/2,-y+1/2,z+1/2'
loop_
_atom_site_label
_atom_site_type_symbol
_atom_site_fract_x
_atom_site_fract_y
_atom_site_fract_z
Dy1 Dy 0.105 0.170 0.042
Dy2 Dy 0.218 0.423 0.406
Hg1 Hg 0.000 0.373 0.750
Os1 Os 0.000 0.001 0.250

---

# Dy4Hg3Os PBE relaxed
# Electronic total energy   -4.24 eV/atom
# D(E_F)   5.93 states/eV/f.u.
# E_form   -0.421 eV per atom
data_Dy4Hg3Os
_space_group_name_H-M_alt 'P 4/m m m'
_space_group_IT_number 123
_space_group_name_Hall '-P 4 2'
_cell_length_a 3.536
_cell_length_b 3.536
_cell_length_c 15.484
_cell_angle_alpha 90.00
_cell_angle_beta 90.00
_cell_angle_gamma 90.00
loop_
_atom_site_label
_atom_site_type_symbol
_atom_site_fract_x
_atom_site_fract_y
_atom_site_fract_z
Dy1 Dy 0.000 0.000 0.105
Dy2 Dy 0.000 0.000 0.371
Hg1 Hg 0.500 0.500 0.245
Hg2 Hg 0.500 0.500 0.500
Os1 Os 0.500 0.500 0.000

---

# Dy5Hg2Os2 PBE relaxed
# Electronic total energy   -5.49 eV/atom
# D(E_F)   6.59 states/eV/f.u.
# E_form   -0.367 eV per atom
data_Dy5Hg2Os2
_space_group_name_H-M_alt 'C m c e'
_space_group_IT_number 64
_space_group_name_Hall '-C 2ac 2'
_cell_length_a 16.092
_cell_length_b 7.447
_cell_length_c 7.580
_cell_angle_alpha 90.00
_cell_angle_beta 90.00
_cell_angle_gamma 90.00
loop_
_atom_site_label
_atom_site_type_symbol
_atom_site_fract_x
_atom_site_fract_y
_atom_site_fract_z
Dy1 Dy 0.000 0.000 0.000
Dy2 Dy 0.123 0.180 0.320
Hg1 Hg 0.219 0.000 0.000
Os1 Os 0.000 0.116 0.620

---

Q: Among the records above, which one has the lowest electronic total energy?
A: Dy5Hg2Os2

---

Q: electronic total energy of number 2 (Dy4Hg3Os)?
A: -4.24 eV/atom

---

Q: The highest electronic total energy belongs to which entry?
A: Dy4Hg3Os